A geometry-optimized KLaTc structure. Source: the Alexandria database, functional PBE.

a b c (Å): 5.5154 5.5154 2.8442
angles (deg): 90.00 90.00 120.00
Element x y z (fractional)
La 0.6667 0.3333 0.1674
Tc 0.3333 0.6667 0.6665
K 0.0000 0.0000 0.1660

The total DFT energy (no corrections) comes out at -4.43 eV per atom. The formation energy is 1.0315 eV/atom. For the calculated volume, the calculation gives 75 Å³/cell. The total magnetization comes out at 0.0 μB per formula unit. The value obtained for the energy above the lowest structure with this stoichiometry is 358.1 meV/atom.



A geometry-optimized KLa2Tc structure. Source: the Alexandria database, functional PBE.

a b c (Å): 3.5983 3.5983 11.0229
angles (deg): 90.00 90.00 90.00
Element x y z (fractional)
K 0.5000 0.5000 0.7500
La 0.0000 0.0000 0.0951
La 0.0000 0.0000 0.4049
Tc 0.5000 0.5000 0.2500

The total DFT energy (no corrections) comes out at -5.19 eV per atom. The formation energy is 0.1420 eV/atom. For the calculated volume, the calculation gives 143 Å³/cell. The total magnetization comes out at 0.0 μB per formula unit. The value obtained for the energy above the lowest structure with this stoichiometry is 8.5 meV/atom.



A geometry-optimized KLaTc2 structure. Source: the Alexandria database, functional PBE.

a b c (Å): 5.8215 5.8215 5.8215
angles (deg): 147.84 126.27 64.01
Element x y z (fractional)
Tc 0.4712 0.4712 0.0000
Tc 0.0288 0.0288 0.0000
K 0.7500 0.2500 0.5000
La 0.2500 0.7500 0.5000

The total DFT energy (no corrections) comes out at -5.51 eV per atom. The formation energy is 1.1799 eV/atom. For the calculated volume, the calculation gives 84 Å³/cell. The total magnetization comes out at 0.0 μB per formula unit. The value obtained for the energy above the lowest structure with this stoichiometry is 780.7 meV/atom.



A geometry-optimized KLaZr2Tc structure. Source: the Alexandria database, functional PBE.

a b c (Å): 5.0412 6.0702 5.0412
angles (deg): 90.00 90.00 90.00
Element x y z (fractional)
Zr 0.0000 0.0000 0.5000
Zr 0.5000 0.0000 0.0000
La 0.5000 0.5000 0.5000
K 0.0000 0.5000 0.0000
Tc 0.0000 0.0000 0.0000

The total DFT energy (no corrections) comes out at -5.99 eV per atom. The formation energy is 0.7094 eV/atom. For the calculated volume, the calculation gives 154 Å³/cell. The total magnetization comes out at 0.0 μB per formula unit.



A geometry-optimized KLa2Te3 structure. Source: the Alexandria database, functional PBE.

a b c (Å): 4.6342 4.6342 12.0890
angles (deg): 90.00 90.00 120.00
Element x y z (fractional)
Te 0.3333 0.6667 0.1941
Te 0.6667 0.3333 0.8059
Te 0.0000 0.0000 0.5000
La 0.6667 0.3333 0.3433
La 0.3333 0.6667 0.6567
K 0.0000 0.0000 0.0000

The uncorrected formation energy is -1.52 eV per atom. The total DFT energy (no corrections) comes out at -4.92 eV per atom. For the calculated volume, the calculation gives 225 Å³/cell. The total magnetization comes out at 0.0 μB per formula unit.



A geometry-optimized KLa2Te2 structure. Source: the Alexandria database, functional PBE.

a b c (Å): 8.9498 8.9498 4.2406
angles (deg): 90.00 90.00 90.00
Element x y z (fractional)
Te 0.6446 0.1446 0.0000
Te 0.3554 0.8554 0.0000
Te 0.1446 0.3554 0.0000
Te 0.8554 0.6446 0.0000
La 0.6502 0.8498 0.5000
La 0.8498 0.3498 0.5000
La 0.1502 0.6502 0.5000
La 0.3498 0.1502 0.5000
K 0.5000 0.5000 0.0000
K 0.0000 0.0000 0.0000

The uncorrected formation energy is -1.08 eV per atom. The total DFT energy (no corrections) comes out at -4.53 eV per atom. For the calculated volume, the calculation gives 340 Å³/cell. The total magnetization comes out at 0.0 μB per formula unit. The value obtained for the energy above the lowest structure with this stoichiometry is 0.0 meV/atom.



A geometry-optimized KLa2Te2 structure. Source: the Alexandria database, functional PBE.

a b c (Å): 5.0343 5.0343 8.9232
angles (deg): 73.62 73.62 90.00
Each line ends with the local moment (μB).
Element x y z (fractional)
La 0.2500 0.7500 0.5000  0.53
La 0.7500 0.2500 0.5000  0.53
Te 0.3782 0.3782 0.2436  0.01
Te 0.6218 0.6218 0.7564  0.01
K 0.0000 0.0000 0.0000  0.01

The uncorrected formation energy is -0.96 eV per atom. The total DFT energy (no corrections) comes out at -4.41 eV per atom. For the calculated volume, the calculation gives 207 Å³/cell. The total magnetization comes out at 2.7 μB per formula unit. The value obtained for the energy above the lowest structure with this stoichiometry is 115.8 meV/atom.



A geometry-optimized KLa2Te structure. Source: the Alexandria database, functional PBE.

a b c (Å): 5.8846 5.8846 5.8846
angles (deg): 60.00 60.00 60.00
Each line ends with the local moment (μB).
Element x y z (fractional)
La 0.2500 0.2500 0.2500  1.00
La 0.0000 0.0000 0.0000  0.80
K 0.5000 0.5000 0.5000  0.07
Te 0.7500 0.7500 0.7500  -0.01

The uncorrected formation energy is -0.04 eV per atom. The total DFT energy (no corrections) comes out at -3.57 eV per atom. For the calculated volume, the calculation gives 144 Å³/cell. The total magnetization comes out at 4.3 μB per formula unit.



A geometry-optimized KLa2Te structure. Source: the Alexandria database, functional PBE.

a b c (Å): 5.8966 5.8966 7.9016
angles (deg): 78.19 78.19 40.26
Element x y z (fractional)
La 0.0091 0.0091 0.9000
La 0.7704 0.7704 0.7401
Te 0.5067 0.5067 0.5838
K 0.2138 0.2138 0.2761

The uncorrected formation energy is -0.37 eV per atom. The total DFT energy (no corrections) comes out at -3.89 eV per atom. For the calculated volume, the calculation gives 173 Å³/cell. The total magnetization comes out at 0.2 μB per formula unit.



A geometry-optimized KLa2Te structure. Source: the Alexandria database, functional PBE.

a b c (Å): 11.6733 11.6733 11.6733
angles (deg): 21.22 21.22 21.22
Element x y z (fractional)
K 0.7500 0.7500 0.7500
La 0.5268 0.5268 0.5268
La 0.9732 0.9732 0.9732
Te 0.2500 0.2500 0.2500

The uncorrected formation energy is -0.51 eV per atom. The total DFT energy (no corrections) comes out at -4.04 eV per atom. For the calculated volume, the calculation gives 183 Å³/cell. The total magnetization comes out at 0.1 μB per formula unit.



A geometry-optimized KLa2Te structure. Source: the Alexandria database, functional PBE.

a b c (Å): 4.2318 4.2318 9.4707
angles (deg): 90.00 90.00 90.00
Each line ends with the local moment (μB).
Element x y z (fractional)
K 0.5000 0.5000 0.7078  0.00
La 0.5000 0.5000 0.2958  -0.10
La 0.0000 0.0000 0.0684  -0.14
Te 0.0000 0.0000 0.4280  0.00

The uncorrected formation energy is -0.56 eV per atom. The total DFT energy (no corrections) comes out at -4.09 eV per atom. For the calculated volume, the calculation gives 170 Å³/cell. The total magnetization comes out at 0.6 μB per formula unit.



A geometry-optimized K2LaTe2 structure. Source: the Alexandria database, functional PBE.

a b c (Å): 8.8223 8.8223 5.0144
angles (deg): 90.00 90.00 90.00
Element x y z (fractional)
K 0.6334 0.8666 0.5000
K 0.1334 0.6334 0.5000
K 0.3666 0.1334 0.5000
K 0.8666 0.3666 0.5000
La 0.5000 0.5000 0.0000
La 0.0000 0.0000 0.0000
Te 0.6768 0.1768 0.0000
Te 0.8232 0.6768 0.0000
Te 0.3232 0.8232 0.0000
Te 0.1768 0.3232 0.0000

The uncorrected formation energy is -1.03 eV per atom. The total DFT energy (no corrections) comes out at -3.71 eV per atom. For the calculated volume, the calculation gives 390 Å³/cell. The total magnetization comes out at 0.0 μB per formula unit.



A geometry-optimized KLa2Te structure. Source: the Alexandria database, functional PBE.

a b c (Å): 3.9131 3.9131 11.0766
angles (deg): 90.00 90.00 90.00
Each line ends with the local moment (μB).
Element x y z (fractional)
La 0.0000 0.0000 0.0835  0.13
La 0.0000 0.0000 0.4165  0.13
Te 0.5000 0.5000 0.2500  -0.01
K 0.5000 0.5000 0.7500  0.00

The uncorrected formation energy is -0.46 eV per atom. The total DFT energy (no corrections) comes out at -3.99 eV per atom. For the calculated volume, the calculation gives 170 Å³/cell. The total magnetization comes out at 0.6 μB per formula unit.